[1]
The following is a DFT calculation (PBE) of a geometry-optimized InGePCl2 structure.

CIF file:
```
data_InGePCl2
_symmetry_space_group_name_H-M 'P 4/m m m'
_symmetry_Int_Tables_number 123
_symmetry_space_group_name_Hall '-P 4 2'
_cell_length_a 5.0450
_cell_length_b 5.0450
_cell_length_c 5.2669
_cell_angle_alpha 90.00
_cell_angle_beta 90.00
_cell_angle_gamma 90.00
loop_
_atom_site_label
_atom_site_type_symbol
_atom_site_fract_x
_atom_site_fract_y
_atom_site_fract_z
_atom_site_occupancy
In1 In 0.0000 0.0000 0.0000 1
Ge1 Ge 0.5000 0.5000 0.5000 1
P1 P 0.0000 0.0000 0.5000 1
Cl1 Cl 0.0000 0.5000 0.0000 1
```

Properties
Crystal system: tetragonal
Formation energy from raw total energies, meV per atom: 190
Volume, Å³ per cell: 134.1
Total moment, μB per formula unit: 0.0
Energy relative to the lowest polymorph listed for this composition, kJ/mol of atoms: 26.55

[2]
The following is a DFT calculation (PBE) of a geometry-optimized InGePCl2 structure.

CIF file:
```
data_InGePCl2
_symmetry_space_group_name_H-M 'P 4/m m m'
_symmetry_Int_Tables_number 123
_symmetry_space_group_name_Hall '-P 4 2'
_cell_length_a 5.0358
_cell_length_b 5.0358
_cell_length_c 4.9436
_cell_angle_alpha 90.00
_cell_angle_beta 90.00
_cell_angle_gamma 90.00
loop_
_atom_site_label
_atom_site_type_symbol
_atom_site_fract_x
_atom_site_fract_y
_atom_site_fract_z
_atom_site_occupancy
In1 In 0.0000 0.0000 0.0000 1
Ge1 Ge 0.5000 0.5000 0.5000 1
P1 P 0.5000 0.5000 0.0000 1
Cl1 Cl 0.0000 0.5000 0.5000 1
```

Properties
Crystal system: tetragonal
Formation energy from raw total energies, meV per atom: -86
Volume, Å³ per cell: 125.4
Total moment, μB per formula unit: 0.0
Energy relative to the lowest polymorph listed for this composition, kJ/mol of atoms: 0.00

[3]
The following is a DFT calculation (PBE) of a geometry-optimized In2GePbCl6 structure.

CIF file:
```
data_In2GePbCl6
_symmetry_space_group_name_H-M 'R 3'
_symmetry_Int_Tables_number 146
_symmetry_space_group_name_Hall 'R 3'
_cell_length_a 7.5456
_cell_length_b 7.5456
_cell_length_c 20.5717
_cell_angle_alpha 90.00
_cell_angle_beta 90.00
_cell_angle_gamma 120.00
loop_
_atom_site_label
_atom_site_type_symbol
_atom_site_fract_x
_atom_site_fract_y
_atom_site_fract_z
_atom_site_occupancy
In1 In 0.0000 0.0000 0.0000 1
In2 In 0.0000 0.0000 0.4863 1
Ge1 Ge 0.0000 0.0000 0.2067 1
Pb1 Pb 0.0000 0.0000 0.6986 1
Cl1 Cl 0.0211 0.4340 0.9339 1
Cl2 Cl 0.0736 0.7320 0.7686 1
```

Properties
Crystal system: trigonal
Formation energy from raw total energies, meV per atom: -904
Volume, Å³ per cell: 1014.4
Total moment, μB per formula unit: 0.0

Question: The highest volume belongs to which entry?
Answer: In2GePbCl6

Question: The lowest formation energy from raw total energies belongs to which entry?
Answer: In2GePbCl6

Question: total moment of number 1 (InGePCl2)?
Answer: 0.0 μB per formula unit

Question: Among the records above, which one has the lowest volume?
Answer: number 2